Entry 1:
Compound: CsIn3Pb
Source: Alexandria
Functional: PBE
Structure: relaxed

Its formation energy is 97.4 kJ/mol of atoms. The density of states at the Fermi level is 5.078 states/eV/cell. The calculation puts the total DFT energy (no corrections) at -7.73 eV for the cell shown. For the offset from the most stable computed form, the calculation gives 1.128 eV per atom.

It has space group Pm-3m (No. 221), with a = 6.2637 Å, b = 6.2637 Å, c = 6.2637 Å, α = 90.00°, β = 90.00° and γ = 90.00°. The inequivalent atoms are Cs at (0.0000, 0.0000, 0.0000), In at (0.0000, 0.0000, 0.5000) and Pb at (0.5000, 0.5000, 0.5000).

---

Entry 2:
Compound: Cs2In5Pb3
Source: Alexandria
Functional: PBE
Structure: relaxed

Its formation energy is -10.1 kJ/mol of atoms. The density of states at the Fermi level is 5.629 states/eV/cell. The calculation puts the total DFT energy (no corrections) at -27.57 eV for the cell shown. For the offset from the most stable computed form, the calculation gives 0.011 eV per atom.

It has space group P-4m2 (No. 115), with a = 5.3881 Å, b = 5.3881 Å, c = 12.5087 Å, α = 90.00°, β = 90.00° and γ = 90.00°. The inequivalent atoms are Cs at (0.0000, 0.5000, 0.2495), In at (0.0000, 0.0000, 0.0000), In at (0.0000, 0.0000, 0.5000), In at (0.0000, 0.5000, 0.8831), In at (0.5000, 0.5000, 0.0000), Pb at (0.0000, 0.5000, 0.6358) and Pb at (0.5000, 0.5000, 0.5000).